Density functional theory data (GGA-PBE) for a geometry-optimized BeSbCl2 structure.

a b c (Å): 7.661 7.661 7.661
angles (deg): 156.13 139.74 47.35
Fractional positions:
Be: 0.000 0.000 0.000
Sb: 0.844 0.344 0.500
Cl: 0.094 0.594 0.500
Cl: 0.389 0.389 0.000

## Properties
Final energy   -13.207 eV for the cell shown
Symmetry   Imm2 (44)
E_form (uncorrected)   -416 meV/atom
Crystal system   orthorhombic
D(E_F)   1.3 states/eV/cell
ΔE to the lowest computed polymorph   267 meV per atom



Density functional theory data (GGA-PBE) for a geometry-optimized BeSb2Cl structure.

a b c (Å): 6.301 6.301 6.301
angles (deg): 149.42 134.77 55.59
Fractional positions:
Be: 0.000 0.000 0.000
Sb: 0.185 0.685 0.500
Sb: 0.815 0.315 0.500
Cl: 0.500 0.500 0.000

## Properties
Final energy   -13.139 eV for the cell shown
Symmetry   Immm (71)
E_form (uncorrected)   170 meV/atom
Crystal system   orthorhombic
D(E_F)   1.5 states/eV/cell
ΔE to the lowest computed polymorph   312 meV per atom



Density functional theory data (GGA-PBE) for a geometry-optimized BeSbCl structure.

a b c (Å): 7.716 7.716 7.716
angles (deg): 157.17 157.17 32.50
Fractional positions:
Be: 0.000 0.000 0.000
Sb: 0.362 0.362 0.000
Cl: 0.584 0.584 0.000

## Properties
Final energy   -9.343 eV for the cell shown
Symmetry   I4mm (107)
E_form (uncorrected)   117 meV/atom
Crystal system   tetragonal
D(E_F)   0.8 states/eV/cell
ΔE to the lowest computed polymorph   447 meV per atom



Density functional theory data (GGA-PBE) for a geometry-optimized Be2SbCl structure.

a b c (Å): 4.720 4.720 3.055
angles (deg): 90.00 90.00 90.00
Fractional positions:
Be: 0.000 0.500 0.000
Be: 0.500 0.000 0.000
Sb: 0.000 0.000 0.500
Cl: 0.500 0.500 0.500

## Properties
Final energy   -11.165 eV for the cell shown
Symmetry   P4/mmm (123)
E_form (uncorrected)   564 meV/atom
Crystal system   tetragonal
D(E_F)   1.1 states/eV/cell
ΔE to the lowest computed polymorph   719 meV per atom



Question: Which of these has the lowest E_form (uncorrected)?
Answer: BeSbCl2